# Na2LaI6

A geometry-optimized Na2LaI6 structure (PBE-GGA, Alexandria via LeMat-Bulk).

a b c (Å): 12.8639 4.9648 12.9694
angles (deg): 90.00 105.35 90.00
Space group C2/m (No. 12)
One atom of each set of equivalent atoms:
Na: 0.2199 0.0000 0.1681
La: 0.0000 0.0000 0.5000
I: 0.0099 0.0000 0.2635
I: 0.1314 0.5000 0.0131
I: 0.1653 0.5000 0.5740

Results
D(E_F): 2.668 states/eV/f.u.
Formation energy from raw total energies: -1.112 eV per atom
Volume: 399.38 Å³/f.u.